K2TlNi (PBE-GGA, optimized geometry); total moment = 0.0 μB per formula unit; mass density = 4.82 g cm⁻³; space-group type = No. 119; final energy = -8.53 eV for the cell shown; energy above the lowest structure with this stoichiometry = 284.7 meV per atom; ΔE_f = 0.4532 eV/atom
1.0
-1.7873 2.9076 -4.3345
-5.1797 -0.1631 1.8924
4.0923 1.9077 3.1702
K Tl Ni
2 1 1
direct
0.7500 0.2500 0.5000
0.0000 0.0000 0.0000
0.2500 0.7500 0.5000
0.5000 0.5000 0.0000